First-principles (PBE) data for a relaxed VP crystal, as listed in the Alexandria database.

abc: 9.022 9.022 3.607
angles: 90.00 90.00 120.00
Sites, in units of the cell vectors:
1 V 0.023 0.621 0.250
2 V 0.379 0.402 0.250
3 V 0.402 0.023 0.750
4 V 0.598 0.977 0.250
5 V 0.621 0.598 0.750
6 V 0.977 0.379 0.750
7 P 0.163 0.466 0.250
8 P 0.302 0.837 0.250
9 P 0.466 0.302 0.750
10 P 0.534 0.698 0.250
11 P 0.698 0.163 0.750
12 P 0.837 0.534 0.750

Output
The calculation puts the total energy at -7.40 eV/atom. The calculation puts the total magnetic moment at 0.00 μB/f.u. As for the symmetry: P6_3/m, No. 176. The formation energy from the elements comes out at -132 meV/atom.


First-principles (PBE) data for a relaxed Th2Co2Ir crystal, as listed in the Alexandria database.

abc: 7.120 7.120 3.726
angles: 90.00 90.00 90.00
Sites, in units of the cell vectors:
1 Th 0.186 0.314 0.000
2 Th 0.314 0.814 0.000
3 Th 0.686 0.186 0.000
4 Th 0.814 0.686 0.000
5 Co 0.121 0.621 0.500
6 Co 0.379 0.121 0.500
7 Co 0.621 0.879 0.500
8 Co 0.879 0.379 0.500
9 Ir 0.000 0.000 0.500
10 Ir 0.500 0.500 0.500

Output
The calculation puts the total energy at -8.05 eV/atom. The calculation puts the total magnetic moment at 0.00 μB/f.u. As for the symmetry: P4/mbm, No. 127. The formation energy from the elements comes out at -467 meV/atom.


First-principles (PBE) data for a relaxed LiP2Rh crystal, as listed in the Alexandria database.

abc: 5.004 5.004 5.004
angles: 144.23 131.94 61.34
Sites, in units of the cell vectors:
1 Li 0.000 0.000 0.000
2 P 0.275 0.775 0.500
3 P 0.480 0.480 0.000
4 Rh 0.713 0.213 0.500

Output
The calculation puts the total energy at -5.28 eV/atom. The calculation puts the total magnetic moment at 0.00 μB/f.u. As for the symmetry: Imm2, No. 44. The formation energy from the elements comes out at -256 meV/atom.


First-principles (PBE) data for a relaxed P2PbBr crystal, as listed in the Alexandria database.

abc: 4.087 4.087 10.125
angles: 90.00 90.00 130.64
Sites, in units of the cell vectors:
1 P 0.000 0.000 0.000
2 P 0.500 0.500 0.133
3 Pb 0.500 0.500 0.736
4 Br 0.000 0.000 0.511

Output
The calculation puts the total energy at -3.96 eV/atom. The calculation puts the total magnetic moment at 0.00 μB/f.u. As for the symmetry: Cmm2, No. 35.


First-principles (PBE) data for a relaxed BaV3S crystal, as listed in the Alexandria database.

abc: 4.615 4.615 4.615
angles: 90.00 90.00 90.00
Sites, in units of the cell vectors:
1 Ba 0.000 0.000 0.000
2 V 0.000 0.500 0.500
3 V 0.500 0.000 0.500
4 V 0.500 0.500 0.000
5 S 0.500 0.500 0.500

Output
The calculation puts the total energy at -6.20 eV/atom. The calculation puts the total magnetic moment at 4.41 μB/f.u. As for the symmetry: Pm-3m, No. 221.


First-principles (PBE) data for a relaxed MgRh2 crystal, as listed in the Alexandria database.

abc: 4.745 4.745 4.745
angles: 145.35 131.63 60.86
Sites, in units of the cell vectors:
1 Mg 0.000 0.000 0.000
2 Rh 0.331 0.331 0.000
3 Rh 0.669 0.669 0.000

Output
The calculation puts the total energy at -5.64 eV/atom. The calculation puts the total magnetic moment at 0.12 μB/f.u. As for the symmetry: Immm, No. 71. The formation energy from the elements comes out at -210 meV/atom.


First-principles (PBE) data for a relaxed Sc2Mn crystal, as listed in the Alexandria database.

abc: 5.700 5.700 7.035
angles: 101.58 101.58 33.24
Sites, in units of the cell vectors:
1 Sc 0.000 0.000 0.000
2 Sc 0.050 0.050 0.568
3 Sc 0.353 0.353 0.272
4 Sc 0.720 0.720 0.906
5 Mn 0.335 0.335 0.659
6 Mn 0.651 0.651 0.310

Output
The calculation puts the total energy at -7.12 eV/atom. The calculation puts the total magnetic moment at 2.36 μB/f.u. As for the symmetry: Cm, No. 8. The formation energy from the elements comes out at 155 meV/atom.


First-principles (PBE) data for a relaxed Tm7MgCo2 crystal, as listed in the Alexandria database.

abc: 7.963 7.963 4.931
angles: 90.00 90.00 113.50
Sites, in units of the cell vectors:
1 Tm 0.000 0.000 0.000
2 Tm 0.178 0.447 0.000
3 Tm 0.204 0.796 0.500
4 Tm 0.447 0.178 0.000
5 Tm 0.553 0.822 0.000
6 Tm 0.796 0.204 0.500
7 Tm 0.822 0.553 0.000
8 Mg 0.500 0.500 0.500
9 Co 0.203 0.797 0.000
10 Co 0.797 0.203 0.000

Output
The calculation puts the total energy at -4.68 eV/atom. The calculation puts the total magnetic moment at 0.00 μB/f.u. As for the symmetry: Cmmm, No. 65. The formation energy from the elements comes out at 30 meV/atom.


First-principles (PBE) data for a relaxed Zn2AgAu crystal, as listed in the Alexandria database.

abc: 4.702 4.702 5.189
angles: 98.51 98.51 35.56
Sites, in units of the cell vectors:
1 Zn 0.249 0.249 0.248
2 Zn 0.751 0.751 0.752
3 Ag 0.000 0.000 0.500
4 Au 0.500 0.500 0.000

Output
The calculation puts the total energy at -2.26 eV/atom. The calculation puts the total magnetic moment at 0.00 μB/f.u. As for the symmetry: C2/m, No. 12. The formation energy from the elements comes out at -94 meV/atom.


First-principles (PBE) data for a relaxed LaHfTaO6 crystal, as listed in the Alexandria database.

abc: 5.419 5.419 10.290
angles: 90.00 90.00 120.00
Sites, in units of the cell vectors:
1 La 0.000 0.000 0.000
2 La 0.000 0.000 0.500
3 Hf 0.333 0.667 0.250
4 Hf 0.667 0.333 0.750
5 Ta 0.333 0.667 0.750
6 Ta 0.667 0.333 0.250
7 O 0.011 0.372 0.642
8 O 0.011 0.639 0.858
9 O 0.361 0.372 0.858
10 O 0.361 0.989 0.642
11 O 0.372 0.011 0.142
12 O 0.372 0.361 0.358
13 O 0.628 0.639 0.642
14 O 0.628 0.989 0.858
15 O 0.639 0.011 0.358
16 O 0.639 0.628 0.142
17 O 0.989 0.361 0.142
18 O 0.989 0.628 0.358

Output
The calculation puts the total energy at -9.60 eV/atom. The calculation puts the total magnetic moment at 0.00 μB/f.u. As for the symmetry: P-31c, No. 163.


First-principles (PBE) data for a relaxed TeWAuI2 crystal, as listed in the Alexandria database.

abc: 5.455 5.455 5.683
angles: 90.00 90.00 90.00
Sites, in units of the cell vectors:
1 Te 0.000 0.000 0.000
2 W 0.500 0.500 0.000
3 Au 0.000 0.000 0.500
4 I 0.000 0.500 0.500
5 I 0.500 0.000 0.500

Output
The calculation puts the total energy at -3.06 eV/atom. The calculation puts the total magnetic moment at 4.17 μB/f.u. As for the symmetry: P4/mmm, No. 123.


First-principles (PBE) data for a relaxed Tb2Si2Rh5 crystal, as listed in the Alexandria database.

abc: 4.138 4.138 8.808
angles: 90.00 90.00 90.00
Sites, in units of the cell vectors:
1 Tb 0.000 0.000 0.000
2 Tb 0.000 0.000 0.500
3 Si 0.500 0.500 0.140
4 Si 0.500 0.500 0.860
5 Rh 0.000 0.500 0.264
6 Rh 0.000 0.500 0.736
7 Rh 0.500 0.000 0.264
8 Rh 0.500 0.000 0.736
9 Rh 0.500 0.500 0.500

Output
The calculation puts the total energy at -7.21 eV/atom. The calculation puts the total magnetic moment at 0.00 μB/f.u. As for the symmetry: P4/mmm, No. 123.